NiAsSe2N: optimized geometry, PBEsol.

Unit cell a=3.4805 b=5.0101 c=5.0101 alpha=90.00 beta=90.00 gamma=90.00
Last column: magnetic moment on the atom in μB.
Sites, in units of the cell vectors:
N 0.5000 0.0000 0.0000  -0.01
Ni 0.5000 0.5000 0.5000  0.73
Se 0.0000 0.0000 0.5000  0.04
Se 0.0000 0.5000 0.0000  0.04
As 0.0000 0.0000 0.0000  0.00

Results
formation energy without anion corrections	1074	meV/atom
crystal system	tetragonal
total magnetic moment	0.82	μB/f.u.

=====

FeNiSb6: optimized geometry, PBEsol.

Unit cell a=7.8012 b=7.8012 c=7.8283 alpha=109.50 beta=109.45 gamma=109.32
Sites, in units of the cell vectors:
Fe 0.0000 0.5000 0.0000
Fe 0.5000 0.0000 0.0000
Sb 0.8362 0.1740 0.3298
Sb 0.1638 0.8260 0.6702
Sb 0.8442 0.5064 0.6702
Sb 0.1558 0.4936 0.3298
Sb 0.6742 0.1609 0.8352
Sb 0.8255 0.6629 0.1562
Sb 0.3258 0.8391 0.1648
Sb 0.3404 0.1582 0.4986
Sb 0.5067 0.6693 0.8438
Sb 0.1745 0.3371 0.8438
Sb 0.4933 0.3307 0.1562
Sb 0.6596 0.8418 0.5014
Ni 0.0000 0.0000 0.5000
Ni 0.5000 0.5000 0.5000

Results
formation energy without anion corrections	-174	meV/atom
crystal system	monoclinic
total magnetic moment	0.00	μB/f.u.

=====

Pb8Au: optimized geometry, PBEsol.

Unit cell a=4.5008 b=7.8100 c=7.8100 alpha=85.24 beta=73.25 gamma=73.25
Sites, in units of the cell vectors:
Pb 0.6701 0.3299 0.3299
Pb 0.6575 0.0000 0.6850
Pb 0.0000 0.3299 0.6701
Pb 0.0000 0.6701 0.3299
Pb 0.3299 0.6701 0.6701
Pb 0.3425 0.0000 0.3150
Pb 0.6575 0.6850 0.0000
Pb 0.3425 0.3150 0.0000
Au 0.0000 0.0000 0.0000

Results
crystal system	tetragonal
total magnetic moment	0.00	μB/f.u.
electronic total energy	-3.964	eV per atom

=====

RuPtN2F: optimized geometry, PBEsol.

Unit cell a=3.8180 b=3.8180 c=3.9278 alpha=90.00 beta=90.00 gamma=90.00
Sites, in units of the cell vectors:
Ru 0.0000 0.0000 0.0000
N 0.0000 0.5000 0.0000
N 0.5000 0.0000 0.0000
F 0.0000 0.0000 0.5000
Pt 0.5000 0.5000 0.5000

Results
formation energy without anion corrections	795	meV/atom
crystal system	tetragonal
total magnetic moment	0.00	μB/f.u.

=====

Mg4Zn5: optimized geometry, PBEsol.

Unit cell a=4.1891 b=6.4214 c=6.4214 alpha=83.89 beta=70.96 gamma=70.96
Sites, in units of the cell vectors:
Mg 0.0000 0.6841 0.3159
Mg 0.3159 0.6841 0.6841
Mg 0.0000 0.3159 0.6841
Mg 0.6841 0.3159 0.3159
Zn 0.0000 0.0000 0.0000
Zn 0.3419 0.0000 0.3163
Zn 0.6581 0.6837 0.0000
Zn 0.3419 0.3163 0.0000
Zn 0.6581 0.0000 0.6837

Results
crystal system	tetragonal
total magnetic moment	0.00	μB/f.u.
electronic total energy	-1.670	eV per atom

=====

AlSn3S: optimized geometry, PBEsol.

Unit cell a=5.2147 b=5.2147 c=5.2147 alpha=90.00 beta=90.00 gamma=90.00
Sites, in units of the cell vectors:
S 0.0000 0.0000 0.0000
Sn 0.0000 0.0000 0.5000
Sn 0.0000 0.5000 0.0000
Sn 0.5000 0.0000 0.0000
Al 0.5000 0.5000 0.5000

Results
formation energy without anion corrections	419	meV/atom
crystal system	cubic
total magnetic moment	0.00	μB/f.u.